1.
Here is an optimized crystal structure of ZnB3Au from Alexandria via LeMat-Bulk. Energies are from PBE.

Structure (extended XYZ):
```
5
Lattice="4.073 0.000 0.000 0.000 4.073 0.000 0.000 0.000 4.073" Properties=species:S:1:pos:R:3 pbc="T T T"
Au 2.037 2.037 2.037
B 2.037 0.000 0.000
B 0.000 0.000 2.037
B 0.000 2.037 0.000
Zn 0.000 0.000 0.000
```

* mass density: 7.24 Mg/m³
* energy above the lowest structure with this stoichiometry: 115 meV/atom


2.
Here is an optimized crystal structure of HfGaNi from Alexandria via LeMat-Bulk. Energies are from PBE.

Structure (extended XYZ):
```
9
Lattice="3.408 0.000 0.000 0.000 6.878 0.000 0.000 -3.439 5.956" Properties=species:S:1:pos:R:3 pbc="T T T"
Ga 0.000 2.540 4.399
Ga 0.000 -0.899 1.557
Ga 0.000 1.798 0.000
Hf 1.704 4.120 0.000
Hf 1.704 1.379 2.389
Hf 1.704 -2.060 3.568
Ni 1.704 0.000 0.000
Ni 0.000 3.439 1.985
Ni 0.000 0.000 3.971
```

* VASP energy: -6.90 eV/atom
* mass density: 10.95 Mg/m³


3.
Here is an optimized crystal structure of LiZrMn2 from Alexandria via LeMat-Bulk. Energies are from PBE.

Structure (extended XYZ):
```
4
Lattice="4.466 -0.364 0.346 3.204 3.132 0.346 2.066 0.746 3.992" Properties=species:S:1:pos:R:3 pbc="T T T"
Zr 4.946 1.785 2.294
Mn 7.458 2.692 0.820
Mn 2.692 0.972 1.014
Li 7.178 2.591 3.588
```

* VASP energy: -6.95 eV/atom
* mass density: 5.99 Mg/m³